# 1
Material: ZrAs2HSe
Method: DFT, SCAN
State: single point on PBEsol structure

extended XYZ file:
```
5
Lattice="3.903 0.000 0.000 0.000 3.903 0.000 0.000 0.000 5.218" Properties=species:S:1:pos:R:3 pbc="T T T"
Se 0.000 0.000 2.609
H 0.000 0.000 0.000
As 0.000 1.952 0.000
Zr 1.952 1.952 2.609
As 1.952 0.000 0.000
```

## Properties
Calculated density (g/cm³): 6.70
Magnetic moment (μB per cell): 0.00
Total DFT energy (no corrections) (eV/cell): -94.98
Symmetry: P4/mmm (123)

# 2
Material: Si3MoRh
Method: DFT, SCAN
State: single point on PBEsol structure

extended XYZ file:
```
5
Lattice="4.514 0.000 0.000 0.000 4.514 0.000 0.000 0.000 4.514" Properties=species:S:1:pos:R:3 pbc="T T T"
Rh 0.000 0.000 0.000
Si 0.000 0.000 2.257
Si 0.000 2.257 0.000
Mo 2.257 2.257 2.257
Si 2.257 0.000 0.000
```

## Properties
Calculated density (g/cm³): 5.11
Magnetic moment (μB per cell): 3.30
Total DFT energy (no corrections) (eV/cell): -94.08
Symmetry: Pm-3m (221)

# 3
Material: Pr3Ho
Method: DFT, SCAN
State: single point on PBEsol structure

extended XYZ file:
```
8
Lattice="-0.602 -4.581 -3.548 1.366 -4.452 5.517 -6.789 1.999 -1.430" Properties=species:S:1:pos:R:3 pbc="T T T"
Pr -0.450 -6.808 1.693
Pr -5.574 -0.226 -1.153
Ho -1.502 -3.447 2.315
Pr -4.894 -2.442 1.593
Pr -1.130 -4.592 -1.053
Pr -3.829 -5.813 0.982
Pr -2.195 -1.221 -0.442
Ho -4.522 -3.587 -1.775
```

## Properties
Calculated density (g/cm³): 7.42
Energy relative to the lowest polymorph listed for this composition (meV per atom): 14
Magnetic moment (μB per cell): 0.00
Total DFT energy (no corrections) (eV/cell): -357.69
Energy of formation (meV/atom): 31
Symmetry: P6_3/mmc (194)

# 4
Material: GeSOF2
Method: DFT, SCAN
State: single point on PBEsol structure

extended XYZ file:
```
5
Lattice="3.627 0.000 0.000 0.000 4.142 0.000 0.000 0.000 4.142" Properties=species:S:1:pos:R:3 pbc="T T T"
S 1.813 2.071 2.071
O 1.813 0.000 0.000
Ge 0.000 0.000 0.000
F 0.000 0.000 2.071
F 0.000 2.071 0.000
```

## Properties
Calculated density (g/cm³): 4.23
Energy relative to the lowest polymorph listed for this composition (meV per atom): 0
Magnetic moment (μB per cell): 2.46
Total DFT energy (no corrections) (eV/cell): -46.03
Symmetry: P4/mmm (123)